Entry 1:
! Mg2IrRh (PBE, optimized geometry); values from VASP
&SYSTEM
  ibrav = 0, nat = 16, ntyp = 3
/
ATOMIC_SPECIES
Mg 24.30 Mg.upf
Ir 192.22 Ir.upf
Rh 102.91 Rh.upf
CELL_PARAMETERS angstrom
6.320 0.000 0.000
0.000 6.320 0.000
0.000 0.000 6.320
ATOMIC_POSITIONS angstrom
Mg 0.000 0.000 0.000
Mg 0.000 3.160 3.160
Mg 1.580 1.580 1.580
Mg 1.580 4.740 4.740
Mg 3.160 0.000 3.160
Mg 3.160 3.160 0.000
Mg 4.740 1.580 4.740
Mg 4.740 4.740 1.580
Ir 1.580 1.580 4.740
Ir 1.580 4.740 1.580
Ir 4.740 1.580 1.580
Ir 4.740 4.740 4.740
Rh 0.000 0.000 3.160
Rh 0.000 3.160 0.000
Rh 3.160 0.000 0.000
Rh 3.160 3.160 3.160
! * formation enthalpy at 0 K: -69 kJ/mol of formula units
! * raw total energy: -80.45 eV for the cell shown
! * volume: 252 Å³ per cell

Entry 2:
! MgIrRh5 (PBE, optimized geometry); values from VASP
&SYSTEM
  ibrav = 0, nat = 14, ntyp = 3
/
ATOMIC_SPECIES
Mg 24.30 Mg.upf
Ir 192.22 Ir.upf
Rh 102.91 Rh.upf
CELL_PARAMETERS angstrom
3.360 -3.693 0.000
3.360 3.693 0.000
-3.252 0.000 8.522
ATOMIC_POSITIONS angstrom
Mg 0.000 0.000 0.000
Mg -1.626 0.000 4.261
Ir 0.922 0.004 6.391
Ir 2.548 -0.004 2.130
Rh 0.313 1.352 2.790
Rh 2.548 2.594 2.130
Rh -0.510 1.096 8.247
Rh -1.313 -1.352 7.051
Rh 2.354 1.096 4.535
Rh 1.116 -1.096 3.987
Rh 4.782 1.352 1.470
Rh 3.979 -1.096 0.274
Rh 0.922 -2.594 6.391
Rh 3.156 -1.352 5.731
! * formation enthalpy at 0 K: 3 kJ/mol of formula units
! * raw total energy: -94.37 eV for the cell shown
! * volume: 212 Å³ per cell

Entry 3:
! MgIr3Rh (PBE, optimized geometry); values from VASP
&SYSTEM
  ibrav = 0, nat = 5, ntyp = 3
/
ATOMIC_SPECIES
Mg 24.30 Mg.upf
Ir 192.22 Ir.upf
Rh 102.91 Rh.upf
CELL_PARAMETERS angstrom
4.730 0.000 0.000
0.000 4.730 0.000
0.000 0.000 4.730
ATOMIC_POSITIONS angstrom
Mg 0.000 0.000 0.000
Ir 0.000 2.365 2.365
Ir 2.365 0.000 2.365
Ir 2.365 2.365 0.000
Rh 2.365 2.365 2.365
! * formation enthalpy at 0 K: 746 kJ/mol of formula units
! * energy above the lowest structure with this stoichiometry: 0.0 meV per atom
! * raw total energy: -27.79 eV for the cell shown
! * volume: 106 Å³ per cell

Entry 4:
! MgIr2Rh8 (PBE, optimized geometry); values from VASP
&SYSTEM
  ibrav = 0, nat = 11, ntyp = 3
/
ATOMIC_SPECIES
Mg 24.30 Mg.upf
Ir 192.22 Ir.upf
Rh 102.91 Rh.upf
CELL_PARAMETERS angstrom
4.605 -2.560 0.000
4.605 2.560 0.000
-0.582 0.000 7.100
ATOMIC_POSITIONS angstrom
Mg 0.000 0.000 0.000
Ir 2.489 0.000 2.816
Ir 6.139 0.000 4.284
Rh 1.431 0.000 5.269
Rh 3.787 1.265 4.794
Rh 4.841 1.265 2.306
Rh 3.300 0.000 0.364
Rh 5.328 0.000 6.736
Rh 3.787 -1.265 4.794
Rh 4.841 -1.265 2.306
Rh 7.198 0.000 1.831
! * formation enthalpy at 0 K: 166 kJ/mol of formula units
! * raw total energy: -76.41 eV for the cell shown
! * volume: 167 Å³ per cell

Entry 5:
! Mg5IrRh2 (PBE, optimized geometry); values from VASP
&SYSTEM
  ibrav = 0, nat = 16, ntyp = 3
/
ATOMIC_SPECIES
Mg 24.30 Mg.upf
Ir 192.22 Ir.upf
Rh 102.91 Rh.upf
CELL_PARAMETERS angstrom
6.362 0.000 0.000
0.000 6.362 0.000
0.000 0.000 6.337
ATOMIC_POSITIONS angstrom
Mg 0.000 0.000 0.000
Mg 1.589 1.589 1.588
Mg 1.592 1.592 4.757
Mg 1.589 4.773 1.588
Mg 1.592 4.771 4.757
Mg 3.181 3.181 3.168
Mg 4.773 1.589 1.588
Mg 4.771 1.592 4.757
Mg 4.773 4.773 1.588
Mg 4.771 4.771 4.757
Ir 0.000 0.000 3.175
Ir 3.181 3.181 0.007
Rh 0.000 3.181 0.004
Rh 0.000 3.181 3.173
Rh 3.181 0.000 0.004
Rh 3.181 0.000 3.173
! * formation enthalpy at 0 K: -281 kJ/mol of formula units
! * raw total energy: -68.90 eV for the cell shown
! * volume: 257 Å³ per cell

Entry 6:
! Mg2IrRh (PBE, optimized geometry); values from VASP
&SYSTEM
  ibrav = 0, nat = 16, ntyp = 3
/
ATOMIC_SPECIES
Mg 24.30 Mg.upf
Ir 192.22 Ir.upf
Rh 102.91 Rh.upf
CELL_PARAMETERS angstrom
7.057 0.000 0.000
0.000 7.057 0.000
0.000 0.000 5.435
ATOMIC_POSITIONS angstrom
Mg 1.739 1.764 0.679
Mg 1.764 5.268 2.038
Mg 1.764 5.318 4.755
Mg 1.790 1.764 3.397
Mg 5.268 5.293 3.397
Mg 5.293 1.739 4.755
Mg 5.293 1.790 2.038
Mg 5.318 5.293 0.679
Ir 0.000 0.000 2.717
Ir 0.000 3.529 4.076
Ir 3.529 0.000 1.359
Ir 3.529 3.529 0.000
Rh 0.000 0.000 0.000
Rh 0.000 3.529 1.359
Rh 3.529 0.000 4.076
Rh 3.529 3.529 2.717
! * formation enthalpy at 0 K: 64 kJ/mol of formula units
! * raw total energy: -74.96 eV for the cell shown
! * volume: 271 Å³ per cell

formation enthalpy at 0 K of number 3 (MgIr3Rh)? 746 kJ/mol of formula units

What did the sixth record say?
! Mg2IrRh (PBE, optimized geometry); values from VASP
&SYSTEM
  ibrav = 0, nat = 16, ntyp = 3
/
ATOMIC_SPECIES
Mg 24.30 Mg.upf
Ir 192.22 Ir.upf
Rh 102.91 Rh.upf
CELL_PARAMETERS angstrom
7.057 0.000 0.000
0.000 7.057 0.000
0.000 0.000 5.435
ATOMIC_POSITIONS angstrom
Mg 1.739 1.764 0.679
Mg 1.764 5.268 2.038
Mg 1.764 5.318 4.755
Mg 1.790 1.764 3.397
Mg 5.268 5.293 3.397
Mg 5.293 1.739 4.755
Mg 5.293 1.790 2.038
Mg 5.318 5.293 0.679
Ir 0.000 0.000 2.717
Ir 0.000 3.529 4.076
Ir 3.529 0.000 1.359
Ir 3.529 3.529 0.000
Rh 0.000 0.000 0.000
Rh 0.000 3.529 1.359
Rh 3.529 0.000 4.076
Rh 3.529 3.529 2.717
! * formation enthalpy at 0 K: 64 kJ/mol of formula units
! * raw total energy: -74.96 eV for the cell shown
! * volume: 271 Å³ per cell